DFT (PBEsol) results for GaSb3O after structural relaxation.

```
data_GaSb3O
_cell_length_a 5.183
_cell_length_b 5.183
_cell_length_c 5.183
_cell_angle_alpha 90.00
_cell_angle_beta 90.00
_cell_angle_gamma 90.00
_symmetry_space_group_name_H-M 'P m -3 m'
_symmetry_Int_Tables_number 221
_symmetry_space_group_name_Hall '-P 4 2 3'
loop_
_atom_site_label
_atom_site_fract_x
_atom_site_fract_y
_atom_site_fract_z
_atom_site_occupancy
Ga1 0.000 0.000 0.000 1
Sb1 0.000 0.000 0.500 1
O1 0.500 0.500 0.500 1
```

## Properties
The calculation puts the magnetization at 1.522 μB/cell. As for the total energy: -3.425 eV per atom.